Entry 1:
Crystalline TlZnTe2I at its relaxed geometry. Source: the Alexandria database, functional PBE.

Cell: 5.8580 5.8580 6.0741 Å, 90.00 90.00 90.00°
Atoms (fractional coordinates):
Tl 0.0000 0.0000 0.0000
Zn 0.5000 0.5000 0.5000
Te 0.0000 0.5000 0.0000
Te 0.5000 0.0000 0.0000
I 0.0000 0.0000 0.5000

Computed properties:
Crystal system: tetragonal
Density of states at the Fermi level (states/eV/atom): 1.7632
Space-group type: P4/mmm
Relative energy among the computed polymorphs (meV per atom): 553
M_tot (μB per atom): 0.1026

=====

Entry 2:
Crystalline Th2BRh5 at its relaxed geometry. Source: the Alexandria database, functional PBE.

Cell: 5.8963 5.8963 5.8963 Å, 120.77 120.77 88.67°
Atoms (fractional coordinates):
Th 0.0000 0.5000 0.5000
Th 0.5000 0.0000 0.5000
B 0.2409 0.2409 0.0000
Rh 0.5018 0.5018 0.0000
Rh 0.5039 0.5039 0.5089
Rh 0.5039 0.9951 0.0000
Rh 0.9951 0.5039 0.0000
Rh 0.9951 0.9951 0.4911

Computed properties:
Crystal system: tetragonal
Density of states at the Fermi level (states/eV/atom): 0.5564
Space-group type: I4mm
M_tot (μB per atom): 0.0000
Formation enthalpy at 0 K (eV per atom): -0.852

=====

Entry 3:
Crystalline Li3B4C4 at its relaxed geometry. Source: the Alexandria database, functional PBE.

Cell: 14.6254 14.6254 4.7055 Å, 98.21 98.21 10.72°
Atoms (fractional coordinates):
Li 0.0000 0.0000 0.0000
Li 0.1250 0.1250 0.1249
Li 0.2501 0.2501 0.2511
Li 0.5000 0.5000 0.5000
Li 0.7499 0.7499 0.7489
Li 0.8750 0.8750 0.8751
B 0.0631 0.0631 0.7207
B 0.1869 0.1869 0.5298
B 0.3109 0.3109 0.9725
B 0.4392 0.4392 0.7774
B 0.5608 0.5608 0.2226
B 0.6891 0.6891 0.0275
B 0.8131 0.8131 0.4702
B 0.9369 0.9369 0.2793
C 0.0598 0.0598 0.3846
C 0.1901 0.1901 0.8656
C 0.3121 0.3121 0.6370
C 0.4378 0.4378 0.1125
C 0.5622 0.5622 0.8875
C 0.6879 0.6879 0.3630
C 0.8099 0.8099 0.1344
C 0.9402 0.9402 0.6154

Computed properties:
Crystal system: monoclinic
Density of states at the Fermi level (states/eV/atom): 0.2297
Space-group type: C2/m
Relative energy among the computed polymorphs (meV per atom): 15
M_tot (μB per atom): 0.0000
Formation enthalpy at 0 K (eV per atom): -0.226

=====

Entry 4:
Crystalline PuGa3Tc at its relaxed geometry. Source: the Alexandria database, functional PBE.

Cell: 6.3001 6.3001 5.5108 Å, 90.00 90.00 120.00°
Atoms (fractional coordinates):
Pu 0.3333 0.6667 0.2500
Pu 0.6667 0.3333 0.7500
Ga 0.1952 0.3904 0.7500
Ga 0.1952 0.8048 0.7500
Ga 0.3904 0.1952 0.2500
Ga 0.6096 0.8048 0.7500
Ga 0.8048 0.1952 0.2500
Ga 0.8048 0.6096 0.2500
Tc 0.0000 0.0000 0.0000
Tc 0.0000 0.0000 0.5000

Computed properties:
Crystal system: hexagonal
Density of states at the Fermi level (states/eV/atom): 2.4983
Space-group type: P6_3/mmc
Relative energy among the computed polymorphs (meV per atom): 0
M_tot (μB per atom): 1.1034
Formation enthalpy at 0 K (eV per atom): -0.272

=====

Entry 5:
Crystalline RbCNF2 at its relaxed geometry. Source: the Alexandria database, functional PBE.

Cell: 5.1367 5.1367 5.8611 Å, 90.00 90.00 90.00°
Atoms (fractional coordinates):
Rb 0.0000 0.0000 0.0000
C 0.5000 0.5000 0.5000
N 0.0000 0.0000 0.5000
F 0.0000 0.5000 0.0000
F 0.5000 0.0000 0.0000

Computed properties:
Crystal system: tetragonal
Density of states at the Fermi level (states/eV/atom): 2.1145
Space-group type: P4/mmm
Relative energy among the computed polymorphs (meV per atom): 2200
M_tot (μB per atom): 1.0607

=====

Entry 6:
Crystalline K3AsPd at its relaxed geometry. Source: the Alexandria database, functional PBE.

Cell: 7.7877 7.7877 8.0500 Å, 117.85 117.85 85.08°
Atoms (fractional coordinates):
K 0.0442 0.0442 0.2567
K 0.0825 0.4724 0.7949
K 0.4724 0.0825 0.7949
K 0.5276 0.9175 0.2051
K 0.9175 0.5276 0.2051
K 0.9558 0.9558 0.7433
As 0.3135 0.3135 0.1852
As 0.6865 0.6865 0.8148
Pd 0.4096 0.4096 0.5620
Pd 0.5904 0.5904 0.4380

Computed properties:
Crystal system: monoclinic
Density of states at the Fermi level (states/eV/atom): 0.5577
Space-group type: C2/m
Relative energy among the computed polymorphs (meV per atom): 105
M_tot (μB per atom): 0.0001
Formation enthalpy at 0 K (eV per atom): -0.155

=====

Entry 7:
Crystalline Pm2Dy3Tm2 at its relaxed geometry. Source: the Alexandria database, functional PBE.

Cell: 8.8996 8.8996 8.5042 Å, 118.48 118.48 22.67°
Atoms (fractional coordinates):
Pm 0.0664 0.0664 0.2201
Pm 0.9336 0.9336 0.7799
Dy 0.2885 0.2885 0.3749
Dy 0.5000 0.5000 0.5000
Dy 0.7115 0.7115 0.6251
Tm 0.3500 0.3500 0.0334
Tm 0.6500 0.6500 0.9666

Computed properties:
Crystal system: monoclinic
Density of states at the Fermi level (states/eV/atom): 1.5244
Space-group type: C2/m
Relative energy among the computed polymorphs (meV per atom): 102
M_tot (μB per atom): 0.0000
Formation enthalpy at 0 K (eV per atom): 0.122

=====

Entry 8:
Crystalline TaMn2Be2 at its relaxed geometry. Source: the Alexandria database, functional PBE.

Cell: 6.1871 6.1871 2.8998 Å, 90.00 90.00 90.00°
Atoms (fractional coordinates):
Ta 0.0000 0.0000 0.0000
Ta 0.5000 0.5000 0.0000
Mn 0.1746 0.3254 0.5000
Mn 0.3254 0.8254 0.5000
Mn 0.6746 0.1746 0.5000
Mn 0.8254 0.6746 0.5000
Be 0.1163 0.6163 0.0000
Be 0.3837 0.1163 0.0000
Be 0.6163 0.8837 0.0000
Be 0.8837 0.3837 0.0000

Computed properties:
Crystal system: tetragonal
Density of states at the Fermi level (states/eV/atom): 0.4765
Space-group type: P4/mbm
Relative energy among the computed polymorphs (meV per atom): 0
M_tot (μB per atom): 0.2629
Formation enthalpy at 0 K (eV per atom): -0.115